1.
Li2CoSnP2O8 | meta-GGA SCAN | single point on PBEsol structure

abc: 4.8510 5.7765 11.9298
angles: 90.00 101.01 90.00
Last column: nearest neighbours and their distance in Å.
Space group P2_1/m (No. 11)
Symmetry-distinct sites (fractional):
Li 0.0000 0.0000 0.0000 [2 per cell]  4 O 2.02-2.07
Li 0.5000 0.0000 0.5000 [2 per cell]  6 O 2.05-2.26
Co 0.0500 0.2500 0.6851 [2 per cell]  5 O 1.97-2.12
Sn 0.4352 0.2500 0.2186 [2 per cell]  4 O 2.26-2.52
P 0.0563 0.2500 0.4204 [2 per cell]  4 O 1.54-1.57
P 0.4141 0.2500 0.8939 [2 per cell]  4 O 1.52-1.59
O 0.1682 0.0313 0.3657 [4 per cell]  1 P 1.57
O 0.2245 0.2500 0.5456 [2 per cell]  1 P 1.56
O 0.2658 0.7500 0.5939 [2 per cell]  1 P 1.54
O 0.2666 0.7500 0.0843 [2 per cell]  1 P 1.52
O 0.2814 0.0403 0.8160 [4 per cell]  1 P 1.59
O 0.2924 0.2500 0.0038 [2 per cell]  1 P 1.54

## Properties
Its energy relative to the lowest polymorph listed for this composition is 0.175 eV/f.u. As for the size of the total moment: 3.00 μB/f.u. For the electronic total energy, the calculation gives -317.9 eV for the cell shown.


2.
Li2CoSnP2O8 | meta-GGA SCAN | single point on PBEsol structure

abc: 4.7556 6.1001 11.2188
angles: 89.75 89.54 88.57
Last column: nearest neighbours and their distance in Å.
Space group P-1 (No. 2)
Symmetry-distinct sites (fractional):
Li 0.0000 0.0000 0.0000 [1 per cell]  4 O 2.00-2.20
Li 0.0000 0.5000 0.0000 [1 per cell]  2 O 1.91
Li 0.5000 0.0000 0.5000 [1 per cell]  6 O 2.05-2.27
Li 0.5000 0.5000 0.5000 [1 per cell]  6 O 2.07-2.22
Co 0.0694 0.2516 0.7038 [2 per cell]  6 O 2.06-2.22
Sn 0.4932 0.2463 0.2246 [2 per cell]  5 O 2.31-2.45
P 0.0771 0.7498 0.5746 [2 per cell]  4 O 1.54-1.58
P 0.3484 0.7535 0.1261 [2 per cell]  4 O 1.53-1.58
O 0.1869 0.9601 0.1780 [2 per cell]  1 P 1.57
O 0.1926 0.7416 0.4457 [2 per cell]  1 P 1.54
O 0.2101 0.9564 0.6337 [2 per cell]  1 P 1.58
O 0.2136 0.5582 0.1969 [2 per cell]  1 P 1.58
O 0.2196 0.5467 0.6401 [2 per cell]  1 P 1.58
O 0.2455 0.2459 0.4128 [2 per cell]  1 P 1.54
O 0.2559 0.7357 0.9950 [2 per cell]  1 P 1.54
O 0.3321 0.2410 0.8581 [2 per cell]  1 P 1.53

## Properties
Its energy relative to the lowest polymorph listed for this composition is 0.289 eV/f.u. As for the size of the total moment: 3.02 μB/f.u. For the electronic total energy, the calculation gives -317.7 eV for the cell shown.


3.
Li2CoSnP2O8 | meta-GGA SCAN | single point on PBEsol structure

abc: 9.6932 5.8190 11.7662
angles: 90.00 100.27 90.00
Last column: nearest neighbours and their distance in Å.
Space group P2_1 (No. 4)
Symmetry-distinct sites (fractional):
Li 0.0057 0.0000 0.4826 [2 per cell]  4 O 1.98-2.10
Li 0.2480 0.9721 0.0013 [2 per cell]  6 O 2.06-2.28
Li 0.2513 0.4730 0.9992 [2 per cell]  6 O 2.10-2.24
Li 0.4944 0.9486 0.5174 [2 per cell]  4 O 1.98-2.10
Co 0.0226 0.2130 0.1873 [2 per cell]  5 O 1.97-2.15
Co 0.4773 0.7370 0.8129 [2 per cell]  5 O 1.97-2.15
Sn 0.2211 0.2054 0.7180 [2 per cell]  3 O 2.21-2.45
Sn 0.2791 0.7436 0.2824 [2 per cell]  3 O 2.21-2.45
P 0.0285 0.2161 0.9205 [2 per cell]  4 O 1.54-1.57
P 0.2052 0.2329 0.3967 [2 per cell]  4 O 1.52-1.60
P 0.2947 0.7159 0.6035 [2 per cell]  4 O 1.52-1.60
P 0.4713 0.7347 0.0796 [2 per cell]  4 O 1.54-1.57
O 0.0815 0.9953 0.8653 [2 per cell]  1 P 1.57
O 0.0848 0.4285 0.8607 [2 per cell]  1 P 1.57
O 0.1140 0.2198 0.0459 [2 per cell]  1 P 1.56
O 0.1193 0.0232 0.3311 [2 per cell]  1 P 1.60
O 0.1317 0.7224 0.0901 [2 per cell]  1 P 1.54
O 0.1377 0.7605 0.5811 [2 per cell]  1 P 1.52
O 0.1443 0.2734 0.5072 [2 per cell]  1 P 1.54
O 0.1588 0.4290 0.3056 [2 per cell]  1 P 1.58
O 0.3411 0.5199 0.6946 [2 per cell]  1 P 1.58
O 0.3556 0.6753 0.4930 [2 per cell]  1 P 1.54
O 0.3623 0.1883 0.4191 [2 per cell]  1 P 1.52
O 0.3684 0.2294 0.9099 [2 per cell]  1 P 1.54
O 0.3808 0.9255 0.6690 [2 per cell]  1 P 1.60
O 0.3858 0.7308 0.9541 [2 per cell]  1 P 1.56
O 0.4155 0.5219 0.1392 [2 per cell]  1 P 1.57
O 0.4179 0.9551 0.1349 [2 per cell]  1 P 1.57

## Properties
Its energy relative to the lowest polymorph listed for this composition is 0.171 eV/f.u. As for the size of the total moment: 3.00 μB/f.u. For the electronic total energy, the calculation gives -635.8 eV for the cell shown.


4.
Li2Ti4CoP4O20 | meta-GGA SCAN | single point on PBEsol structure

abc: 6.4051 7.2475 7.3434
angles: 89.94 89.67 89.87
Last column: nearest neighbours and their distance in Å.
Space group P-1 (No. 2)
Symmetry-distinct sites (fractional):
Li 0.0000 0.0000 0.0000 [1 per cell]  6 O 2.08-2.14
Li 0.0000 0.5000 0.5000 [1 per cell]  6 O 1.99-2.22
Ti 0.2505 0.2198 0.3353 [2 per cell]  2 O 1.71-1.90
Ti 0.2608 0.2696 0.8439 [2 per cell]  4 O 1.80-2.02
Co 0.5000 0.5000 0.5000 [1 per cell]  6 O 2.00-2.16
P 0.2439 0.8715 0.6231 [2 per cell]  4 O 1.53-1.56
P 0.2479 0.6284 0.1256 [2 per cell]  4 O 1.53-1.58
O 0.0512 0.7455 0.6119 [2 per cell]  1 P 1.54
O 0.0539 0.7510 0.1383 [2 per cell]  1 P 1.53
O 0.2314 0.1660 0.1093 [2 per cell]  1 Ti 1.71
O 0.2314 0.9985 0.7891 [2 per cell]  1 P 1.53
O 0.2439 0.5096 0.9525 [2 per cell]  1 P 1.54
O 0.2550 0.5009 0.2993 [2 per cell]  1 P 1.58
O 0.2624 0.9833 0.4453 [2 per cell]  1 P 1.54
O 0.2718 0.3488 0.6115 [2 per cell]  1 Ti 1.80, 1 Co 2.00
O 0.4372 0.7415 0.6365 [2 per cell]  1 P 1.56
O 0.4435 0.7492 0.1248 [2 per cell]  1 P 1.53

## Properties
As for the size of the total moment: 3.00 μB/f.u. For the electronic total energy, the calculation gives -338.8 eV for the cell shown.


5.
Li4V3CoP4O16 | meta-GGA SCAN | single point on PBEsol structure

abc: 4.6709 5.9402 10.1762
angles: 90.00 90.01 90.00
Last column: nearest neighbours and their distance in Å.
Space group Pm (No. 6)
Symmetry-distinct sites (fractional):
Li 0.0000 0.2458 0.0000 [2 per cell]  6 O 2.05-2.20
Li 0.4970 0.2456 0.5138 [2 per cell]  6 O 2.05-2.22
V 0.4844 0.0000 0.2327 [1 per cell]  6 O 2.07-2.14
V 0.5109 0.5000 0.7816 [1 per cell]  6 O 2.06-2.14
V 0.9815 0.5000 0.2799 [1 per cell]  6 O 2.08-2.15
Co 0.0189 0.0000 0.7328 [1 per cell]  6 O 2.08-2.22
P 0.0781 0.5000 0.6007 [1 per cell]  4 O 1.53-1.57
P 0.4168 0.5000 0.0996 [1 per cell]  4 O 1.53-1.57
P 0.5753 0.0000 0.9149 [1 per cell]  4 O 1.53-1.57
P 0.9167 0.0000 0.4138 [1 per cell]  4 O 1.53-1.58
O 0.1975 0.5000 0.4585 [1 per cell]  1 P 1.55
O 0.2203 0.2946 0.6724 [2 per cell]  1 P 1.57
O 0.2448 0.0000 0.4097 [1 per cell]  1 P 1.53
O 0.2479 0.0000 0.9162 [1 per cell]  1 P 1.53
O 0.2777 0.2938 0.1727 [2 per cell]  1 P 1.57
O 0.2908 0.5000 0.9592 [1 per cell]  1 P 1.55
O 0.7054 0.0000 0.0562 [1 per cell]  1 P 1.56
O 0.7097 0.2093 0.8447 [2 per cell]  1 P 1.57
O 0.7442 0.5000 0.1023 [1 per cell]  1 P 1.53
O 0.7498 0.5000 0.6039 [1 per cell]  1 P 1.53
O 0.7780 0.2063 0.3394 [2 per cell]  1 P 1.58
O 0.7921 0.0000 0.5534 [1 per cell]  1 P 1.54

## Properties
As for the size of the total moment: 11.25 μB/f.u. For the electronic total energy, the calculation gives -289.6 eV for the cell shown.


6.
Li4CoRuO6 | meta-GGA SCAN | single point on PBEsol structure

abc: 4.9553 8.5810 4.9992
angles: 90.00 109.30 90.00
Last column: nearest neighbours and their distance in Å.
Space group C2 (No. 5)
Symmetry-distinct sites (fractional):
Li 0.0000 0.0000 0.0000 [2 per cell]  6 O 2.05-2.06
Li 0.0000 0.1590 0.5000 [2 per cell]  6 O 2.05-2.17
Li 0.0000 0.5112 0.5000 [2 per cell]  6 O 2.01-2.23
Li 0.0000 0.8370 0.5000 [2 per cell]  6 O 2.04-2.13
Co 0.0000 0.6670 0.0000 [2 per cell]  6 O 1.90-1.91
Ru 0.0000 0.3338 0.0000 [2 per cell]  6 O 1.96-1.97
O 0.2246 0.5048 0.2314 [4 per cell]  1 Co 1.91, 1 Ru 1.97, 4 Li 2.01-2.13
O 0.2409 0.6746 0.7730 [4 per cell]  1 Co 1.90, 1 Ru 1.96, 3 Li 2.04-2.05
O 0.2460 0.8211 0.2283 [4 per cell]  1 Co 1.90, 1 Ru 1.96, 3 Li 2.06-2.11

## Properties
As for the size of the total moment: 3.00 μB/f.u. For the electronic total energy, the calculation gives -242.5 eV for the cell shown.


7.
Li2Co3SbO8 | meta-GGA SCAN | single point on PBEsol structure

abc: 5.7108 5.7108 14.4210
angles: 90.00 90.00 120.00
Last column: nearest neighbours and their distance in Å.
Space group R-3m (No. 166, hexagonal axes)
Symmetry-distinct sites (fractional):
Li 0.0000 0.0000 0.1253 [6 per cell]  4 O 1.93-2.04
Co 0.0000 0.5000 0.0000 [9 per cell]  6 O 1.91-1.92
Sb 0.0000 0.0000 0.5000 [3 per cell]  6 O 2.02
O 0.0000 0.0000 0.2670 [6 per cell]  3 Co 1.91, 1 Li 2.04
O 0.0268 0.5134 0.2589 [18 per cell]  2 Co 1.92, 1 Li 1.93, 1 Sb 2.02

## Properties
Its energy relative to the lowest polymorph listed for this composition is 0.187 eV/f.u. As for the size of the total moment: 0.00 μB/f.u. For the electronic total energy, the calculation gives -504.8 eV for the cell shown.


8.
Li2Co3SbO8 | meta-GGA SCAN | single point on PBEsol structure

abc: 5.6909 5.6909 9.2964
angles: 90.00 90.00 120.00
Last column: nearest neighbours and their distance in Å.
Space group P6_3mc (No. 186)
Symmetry-distinct sites (fractional):
Li 0.0000 0.0000 0.0000 [2 per cell]  4 O 1.75-1.85
Li 0.3333 0.6667 0.0946 [2 per cell]  4 O 1.91-1.99
Co 0.1698 0.3395 0.7789 [6 per cell]  6 O 1.87-1.94
Sb 0.3333 0.6667 0.5029 [2 per cell]  6 O 2.00-2.09
O 0.0000 0.0000 0.1879 [2 per cell]  1 Li 1.75, 3 Co 1.88
O 0.0331 0.5166 0.6618 [6 per cell]  2 Co 1.89, 1 Li 1.91, 1 Sb 2.09
O 0.1588 0.3176 0.3941 [6 per cell]  1 Li 1.85, 2 Co 1.94, 1 Sb 2.00
O 0.3333 0.6667 0.8806 [2 per cell]  3 Co 1.87, 1 Li 1.99

## Properties
Its energy relative to the lowest polymorph listed for this composition is 0.238 eV/f.u. As for the size of the total moment: 0.00 μB/f.u. For the electronic total energy, the calculation gives -336.4 eV for the cell shown.


9.
Li4Co3Sb5O16 | meta-GGA SCAN | single point on PBEsol structure

abc: 10.1943 6.0562 10.6149
angles: 90.00 90.32 90.00
Last column: nearest neighbours and their distance in Å.
Space group Pm (No. 6)
Symmetry-distinct sites (fractional):
Li 0.0000 0.0000 0.0000 [1 per cell]  4 O 1.88-2.00
Li 0.0014 0.5000 0.5053 [1 per cell]  4 O 1.86-2.01
Li 0.1083 0.0000 0.3326 [1 per cell]  4 O 2.01-2.08
Li 0.1372 0.5000 0.8331 [1 per cell]  3 O 1.93-1.94
Li 0.5160 0.0000 0.0027 [1 per cell]  3 O 1.83-1.91
Li 0.5182 0.5000 0.4921 [1 per cell]  4 O 1.82-2.03
Li 0.6205 0.0000 0.6751 [1 per cell]  4 O 1.99-2.19
Li 0.6247 0.5000 0.1730 [1 per cell]  3 O 1.97-2.03
Co 0.2875 0.5000 0.3380 [1 per cell]  6 O 2.03-2.15
Co 0.2971 0.0000 0.8379 [1 per cell]  6 O 2.00-2.18
Co 0.7854 0.2526 0.9246 [2 per cell]  6 O 1.93-1.97
Co 0.7934 0.2325 0.4259 [2 per cell]  6 O 2.01-2.15
Sb 0.2883 0.2513 0.0917 [2 per cell]  6 O 1.98-2.05
Sb 0.2925 0.2486 0.5889 [2 per cell]  6 O 1.97-2.04
Sb 0.5231 0.5000 0.8568 [1 per cell]  5 O 2.13-2.31
Sb 0.5290 0.0000 0.3553 [1 per cell]  5 O 2.08-2.28
Sb 0.7859 0.5000 0.6800 [1 per cell]  6 O 1.96-2.06
Sb 0.7872 0.0000 0.1736 [1 per cell]  6 O 1.98-2.07
Sb 0.9902 0.5000 0.1886 [1 per cell]  3 O 2.02-2.24
Sb 0.9933 0.0000 0.6930 [1 per cell]  3 O 2.08-2.11
O 0.1790 0.2685 0.2446 [2 per cell]  1 Sb 1.98, 1 Li 2.01, 1 Co 2.04
O 0.1812 0.0000 0.5152 [1 per cell]  2 Sb 2.04, 1 Li 2.07
O 0.1837 0.0000 0.0099 [1 per cell]  1 Li 1.88, 2 Sb 2.05
O 0.1835 0.5000 0.5137 [1 per cell]  1 Li 1.86, 2 Sb 2.04
O 0.1855 0.5000 0.0101 [1 per cell]  1 Li 1.94, 2 Sb 2.03
O 0.1951 0.2355 0.7484 [2 per cell]  1 Li 1.93, 1 Sb 1.97, 1 Co 2.00
O 0.3969 0.2719 0.4321 [2 per cell]  1 Li 1.96, 1 Sb 1.99, 1 Co 2.03
O 0.3991 0.0000 0.1602 [1 per cell]  2 Sb 2.03, 1 Li 2.06
O 0.3989 0.5000 0.1662 [1 per cell]  2 Sb 2.04, 1 Co 2.15
O 0.4035 0.2280 0.9409 [2 per cell]  1 Li 1.91, 1 Sb 2.00, 1 Co 2.07
O 0.4056 0.0000 0.6614 [1 per cell]  2 Sb 2.04, 1 Co 2.18, 1 Li 2.19
O 0.4080 0.5000 0.6508 [1 per cell]  1 Li 2.03, 2 Sb 2.03
O 0.6734 0.0000 0.4948 [1 per cell]  1 Li 1.99, 2 Co 2.01, 1 Sb 2.08
O 0.6733 0.2245 0.2595 [2 per cell]  1 Li 1.97, 1 Sb 2.01, 1 Co 2.14
O 0.6790 0.2664 0.7739 [2 per cell]  1 Co 1.93, 1 Li 2.01, 1 Sb 2.05
O 0.6802 0.5000 0.9899 [1 per cell]  2 Co 1.97, 1 Li 2.03, 1 Sb 2.13
O 0.6954 0.5000 0.5169 [1 per cell]  1 Li 1.82, 1 Sb 1.96
O 0.6959 0.0000 0.9993 [1 per cell]  1 Li 1.83, 2 Co 1.95
O 0.8805 0.5000 0.8516 [1 per cell]  2 Co 1.95, 1 Sb 2.06
O 0.8845 0.0000 0.8578 [1 per cell]  1 Li 1.91, 2 Co 1.97, 1 Sb 2.08
O 0.8893 0.2360 0.0773 [2 per cell]  1 Co 1.93, 1 Li 2.00, 1 Sb 2.04
O 0.8978 0.5000 0.3562 [1 per cell]  1 Li 1.90, 1 Sb 2.02, 2 Co 2.08
O 0.9025 0.2659 0.5987 [2 per cell]  1 Li 2.01, 2 Sb 2.04-2.11, 1 Co 2.15
O 0.9046 0.0000 0.3232 [1 per cell]  1 Sb 1.98, 1 Li 2.08, 2 Co 2.11

## Properties
As for the size of the total moment: 6.03 μB/f.u. For the electronic total energy, the calculation gives -784.2 eV for the cell shown.


10.
Li2Co3SbO8 | meta-GGA SCAN | single point on PBEsol structure

abc: 8.1518 8.1518 8.1518
angles: 90.00 90.00 90.00
Last column: nearest neighbours and their distance in Å.
Space group P4_332 (No. 212)
Symmetry-distinct sites (fractional):
Li 0.0047 0.4953 0.5047 [8 per cell]  4 O 1.89-1.97
Co 0.1176 0.1324 0.6250 [12 per cell]  6 O 1.88-1.93
Sb 0.1250 0.8750 0.3750 [4 per cell]  6 O 2.03
O 0.1047 0.1224 0.3908 [24 per cell]  2 Co 1.91-1.93, 1 Li 1.97, 1 Sb 2.03
O 0.1114 0.6114 0.8886 [8 per cell]  3 Co 1.88, 1 Li 1.89

## Properties
Its energy relative to the lowest polymorph listed for this composition is 0.000 eV/f.u. As for the size of the total moment: 0.00 μB/f.u. For the electronic total energy, the calculation gives -673.8 eV for the cell shown.


11.
Li4Co3Sn2Sb3O16 | meta-GGA SCAN | single point on PBEsol structure

abc: 10.6718 6.0745 9.7045
angles: 90.00 90.94 90.00
Last column: nearest neighbours and their distance in Å.
Space group Cm (No. 8)
Symmetry-distinct sites (fractional):
Li 0.0000 0.0000 0.0000 [2 per cell]  4 O 1.84-2.00
Li 0.0598 0.0000 0.5363 [2 per cell]  3 O 1.78-1.95
Li 0.1640 0.5000 0.0996 [2 per cell]  4 O 1.93-2.12
Li 0.3296 0.0000 0.6182 [2 per cell]  4 O 1.90-2.11
Co 0.0709 0.2696 0.7923 [4 per cell]  6 O 2.03-2.18
Co 0.1595 0.0000 0.2832 [2 per cell]  6 O 2.03-2.10
Sn 0.1457 0.5000 0.5200 [2 per cell]  6 O 2.04-2.22
Sn 0.3109 0.0000 0.0001 [2 per cell]  5 O 1.99-2.18
Sb 0.3210 0.5000 0.7863 [2 per cell]  6 O 1.95-2.08
Sb 0.4050 0.2483 0.2911 [4 per cell]  6 O 2.01-2.08
O 0.0039 0.5000 0.6588 [2 per cell]  1 Li 1.90, 2 Co 2.03, 1 Sn 2.04
O 0.0688 0.2387 0.4017 [4 per cell]  1 Li 1.95, 1 Sb 2.04, 1 Co 2.10, 1 Sn 2.12
O 0.1466 0.0000 0.9000 [2 per cell]  1 Li 1.85, 1 Sn 1.99
O 0.1693 0.5000 0.9012 [2 per cell]  1 Li 1.93, 1 Sb 1.98, 2 Co 2.04
O 0.2330 0.2763 0.6589 [4 per cell]  1 Li 2.01, 1 Sb 2.05, 1 Sn 2.12, 1 Co 2.18
O 0.2555 0.2255 0.1629 [4 per cell]  1 Sb 2.01, 1 Li 2.02, 1 Co 2.08, 1 Sn 2.18
O 0.3202 0.5000 0.3988 [2 per cell]  2 Sb 2.07, 1 Sn 2.22
O 0.3263 0.0000 0.4012 [2 per cell]  2 Sb 2.04, 1 Co 2.10, 1 Li 2.11
O 0.4054 0.2570 0.9066 [4 per cell]  1 Li 2.00, 1 Sn 2.08, 1 Sb 2.08, 1 Co 2.11
O 0.4757 0.0000 0.1669 [2 per cell]  2 Sb 2.08, 1 Li 2.12
O 0.4839 0.5000 0.6985 [2 per cell]  1 Li 1.78, 1 Sb 1.95
O 0.4880 0.5000 0.1890 [2 per cell]  1 Li 1.84, 1 Co 2.03, 2 Sb 2.03

## Properties
As for the size of the total moment: 8.63 μB/f.u. For the electronic total energy, the calculation gives -781.9 eV for the cell shown.


Among the records above, which one has the highest size of the total moment?
Li4V3CoP4O16


electronic total energy of number 4 (Li2Ti4CoP4O20)?
-338.8 eV for the cell shown